{
  "formula": "Tl3Ag5F12",
  "functional": "PBE",
  "state": "relaxed",
  "formation_energy_uncorrected_kj_per_mol_fu": -2538,
  "dos_at_fermi_per_ev_atom": 0.447,
  "crystal_system": "cubic",
  "dft_energy_ev_per_cell": -280.47,
  "m_tot_mub_per_cell": 0.0,
  "lattice_angstrom": [[-1.085, -11.551, -3.338], [8.973, 1.048, 8.008], [-10.328, 3.726, 5.019]],
  "species": ["Tl", "Tl", "Tl", "Tl", "Tl", "Tl", "Tl", "Tl", "Tl", "Tl", "Tl", "Tl", "F", "F", "F", "F", "F", "F", "F", "F", "F", "F", "F", "F", "F", "F", "F", "F", "F", "F", "F", "F", "F", "F", "F", "F", "F", "F", "F", "F", "F", "F", "F", "F", "F", "F", "F", "F", "F", "F", "F", "F", "F", "F", "F", "F", "F", "F", "F", "F", "Ag", "Ag", "Ag", "Ag", "Ag", "Ag", "Ag", "Ag", "Ag", "Ag", "Ag", "Ag", "Ag", "Ag", "Ag", "Ag", "Ag", "Ag", "Ag", "Ag"],
  "fractional_positions": [[0.875, 0.750, 0.125], [0.250, 0.125, 0.375], [0.875, 0.125, 0.250], [0.375, 0.625, 0.250], [0.125, 0.250, 0.875], [0.750, 0.875, 0.625], [0.750, 0.375, 0.125], [0.625, 0.250, 0.375], [0.250, 0.625, 0.875], [0.625, 0.375, 0.750], [0.125, 0.875, 0.750], [0.375, 0.750, 0.625], [0.062, 0.431, 0.828], [0.438, 0.766, 0.869], [0.938, 0.369, 0.266], [0.828, 0.898, 0.266], [0.062, 0.631, 0.734], [0.734, 0.131, 0.062], [0.631, 0.569, 0.898], [0.328, 0.766, 0.398], [0.828, 0.931, 0.062], [0.562, 0.328, 0.931], [0.898, 0.828, 0.766], [0.266, 0.398, 0.828], [0.102, 0.172, 0.234], [0.369, 0.431, 0.102], [0.438, 0.672, 0.069], [0.266, 0.869, 0.938], [0.734, 0.602, 0.172], [0.869, 0.266, 0.438], [0.234, 0.672, 0.102], [0.234, 0.562, 0.631], [0.328, 0.562, 0.431], [0.766, 0.438, 0.369], [0.102, 0.931, 0.369], [0.398, 0.266, 0.328], [0.131, 0.398, 0.069], [0.431, 0.062, 0.328], [0.602, 0.734, 0.672], [0.562, 0.234, 0.131], [0.898, 0.069, 0.631], [0.131, 0.734, 0.562], [0.938, 0.569, 0.172], [0.569, 0.631, 0.398], [0.069, 0.898, 0.131], [0.869, 0.602, 0.931], [0.369, 0.938, 0.766], [0.069, 0.172, 0.438], [0.766, 0.328, 0.898], [0.398, 0.131, 0.569], [0.569, 0.938, 0.672], [0.672, 0.234, 0.602], [0.931, 0.828, 0.562], [0.672, 0.438, 0.569], [0.631, 0.062, 0.234], [0.602, 0.869, 0.431], [0.172, 0.069, 0.938], [0.172, 0.102, 0.734], [0.931, 0.102, 0.869], [0.431, 0.369, 0.602], [0.500, 0.000, 0.500], [0.375, 0.250, 0.125], [0.750, 0.125, 0.875], [0.000, 0.500, 0.000], [0.125, 0.750, 0.375], [0.250, 0.375, 0.625], [0.375, 0.125, 0.750], [0.500, 0.500, 0.000], [0.250, 0.875, 0.125], [0.625, 0.750, 0.875], [0.000, 0.000, 0.500], [0.875, 0.625, 0.750], [0.000, 0.000, 0.000], [0.875, 0.250, 0.625], [0.000, 0.500, 0.500], [0.750, 0.625, 0.375], [0.500, 0.000, 0.000], [0.125, 0.375, 0.250], [0.500, 0.500, 0.500], [0.625, 0.875, 0.250]]
}